Below is a geometry-optimized Li2YInS4 structure, with properties calculated at the PBE-GGA level.

## Properties
size of the total moment: 0.0 μB per cell
uncorrected formation energy: -1.34 eV per atom
VASP energy: -5.0347 eV/atom
ρ: 3623 kg/m³

a = 6.5967 Å, b = 3.8494 Å, c = 6.6282 Å
α = 90.00°, β = 109.62°, γ = 90.00°
Space group P2/m (No. 10)
Inequivalent atoms, fractional coordinates:
1 Li 0.0000 0.0000 0.0000 [1 per cell]
2 Li 0.0000 0.5000 0.5000 [1 per cell]
3 Y 0.5000 0.0000 0.5000 [1 per cell]
4 In 0.5000 0.5000 0.0000 [1 per cell]
5 S 0.2462 0.5000 0.2476 [2 per cell]
6 S 0.2538 0.0000 0.7628 [2 per cell]